## SrSm2CrN4 (GGA-PBE)

Data for a geometry-optimized SrSm2CrN4 structure.

a b c (Å): 3.501 12.131 11.979
angles (deg): 90.00 90.00 90.00
Space group Cmcm (No. 63)
Symmetry-distinct sites (fractional):
1 Sr 0.000 0.091 0.250 (multiplicity 4)
2 Sm 0.000 0.370 0.042 (multiplicity 8)
3 Cr 0.000 0.178 0.750 (multiplicity 4)
4 N 0.000 0.000 0.000 (multiplicity 4)
5 N 0.000 0.261 0.627 (multiplicity 8)
6 N 0.000 0.399 0.250 (multiplicity 4)

The density comes out at 6.5 g/cm3. For the total energy, the calculation gives -7.8288 eV per atom. Its crystal system is orthorhombic. For the formation energy from raw total energies, the calculation gives -1.07 eV/atom.